The following is a PBE-GGA calculation of an optimized crystal structure of LiZn6Ag, from Alexandria via LeMat-Bulk.

a = 5.0169 Å, b = 5.0169 Å, c = 5.0169 Å
α = 90.00°, β = 90.00°, γ = 90.00°
Fractional positions:
Zn1 0.5000 0.7474 0.0000
Zn2 0.0000 0.5000 0.7474
Zn3 0.7474 0.0000 0.5000
Zn4 0.5000 0.2526 0.0000
Zn5 0.0000 0.5000 0.2526
Zn6 0.2526 0.0000 0.5000
Ag1 0.0000 0.0000 0.0000
Li1 0.5000 0.5000 0.5000

Polymorph energy (0 for the lowest one) (meV per atom): 55
Calculated formation energy (meV per atom): -11
Symmetry: Pm-3, No. 200
V (Å³ per atom): 15.784